Here is a geometry-optimized Zr2CoPb structure from the Alexandria database. Energies are from PBE.

Lattice parameters (Å, degrees): 3.137 3.137 8.212 90.00 90.00 90.00
Space group P4/mmm (No. 123)
One atom of each set of equivalent atoms:
Zr1 0.000 0.000 0.201 (multiplicity 2)
Co1 0.500 0.500 0.000 (multiplicity 1)
Pb1 0.500 0.500 0.500 (multiplicity 1)

Computed properties:
* formation energy from the elements: -0.157 eV/atom
* DOS at the Fermi energy: 3.3 states/eV/f.u.

Here is a geometry-optimized ZrCoPb2 structure from the Alexandria database. Energies are from PBE.

Lattice parameters (Å, degrees): 3.341 4.320 6.062 90.00 98.43 90.00
Space group P2/m (No. 10)
One atom of each set of equivalent atoms:
Zr1 0.000 0.000 0.000 (multiplicity 1)
Co1 0.500 0.000 0.500 (multiplicity 1)
Pb1 0.343 0.500 0.733 (multiplicity 2)

Computed properties:
* formation energy from the elements: 0.249 eV/atom
* ΔE to the lowest computed polymorph: 118 meV/atom
* DOS at the Fermi energy: 3.0 states/eV/f.u.